Here is a relaxed Th3Au crystal from Alexandria. Energies are from PBE-GGA.

As for the density of states at the Fermi level: 1.128 states/eV per atom. The value obtained for the formation energy is -0.261 eV per atom.

abc: 3.626 5.967 6.439
angles: 117.60 106.35 90.00
Positions (direct):
Au (0.000, 0.010, 0.000)
Th (0.281, 0.642, 0.563)
Th (0.500, 0.436, 0.000)
Th (0.719, 0.079, 0.437)

***

Here is a relaxed ThTiAu2 crystal from Alexandria. Energies are from PBE-GGA.

As for the density of states at the Fermi level: 1.229 states/eV per atom. The value obtained for the formation energy is -0.360 eV per atom.

abc: 5.028 5.028 5.028
angles: 60.00 60.00 60.00
Site moments in Bohr magnetons follow the coordinates.
Positions (direct):
Au (0.250, 0.250, 0.250)  0.05
Au (0.750, 0.750, 0.750)  0.05
Th (0.000, 0.000, 0.000)  0.20
Ti (0.500, 0.500, 0.500)  1.39

***

Here is a relaxed Th2TiAu crystal from Alexandria. Energies are from PBE-GGA.

As for the density of states at the Fermi level: 1.522 states/eV per atom. The value obtained for the formation energy is -0.137 eV per atom.

abc: 3.452 5.416 5.416
angles: 90.00 90.00 90.00
Positions (direct):
Au (0.500, 0.500, 0.500)
Th (0.000, 0.000, 0.500)
Th (0.000, 0.500, 0.000)
Ti (0.500, 0.000, 0.000)

***

Here is a relaxed ThTiAu2 crystal from Alexandria. Energies are from PBE-GGA.

As for the density of states at the Fermi level: 0.778 states/eV per atom. The value obtained for the formation energy is -0.424 eV per atom.

abc: 4.498 4.498 5.811
angles: 67.23 67.23 60.00
Site moments in Bohr magnetons follow the coordinates.
Positions (direct):
Au (0.783, 0.783, 0.651)  0.00
Au (0.217, 0.217, 0.349)  0.00
Th (0.000, 0.000, 0.000)  0.00
Ti (0.500, 0.500, 0.500)  0.20

***

Here is a relaxed Th2TiAu crystal from Alexandria. Energies are from PBE-GGA.

As for the density of states at the Fermi level: 1.048 states/eV per atom. The value obtained for the formation energy is 0.261 eV per atom.

abc: 3.312 3.312 11.129
angles: 81.44 81.44 60.00
Site moments in Bohr magnetons follow the coordinates.
Positions (direct):
Au (0.500, 0.500, 0.500)  0.00
Th (0.089, 0.089, 0.734)  0.02
Th (0.911, 0.911, 0.266)  0.02
Ti (0.000, 0.000, 0.000)  0.76

***

Here is a relaxed ThTiAu2 crystal from Alexandria. Energies are from PBE-GGA.

As for the density of states at the Fermi level: 1.125 states/eV per atom. The value obtained for the formation energy is -0.424 eV per atom.

abc: 3.378 3.378 7.425
angles: 90.00 90.00 90.00
Site moments in Bohr magnetons follow the coordinates.
Positions (direct):
Au (0.000, 0.000, 0.798)  0.04
Au (0.000, 0.000, 0.202)  0.04
Th (0.500, 0.500, 0.500)  0.10
Ti (0.500, 0.500, 0.000)  0.65

***

Here is a relaxed Th2TlAu crystal from Alexandria. Energies are from PBE-GGA.

As for the density of states at the Fermi level: 1.294 states/eV per atom. The value obtained for the formation energy is -0.357 eV per atom.

abc: 3.498 3.498 8.899
angles: 90.00 90.00 90.00
Positions (direct):
Tl (0.500, 0.500, 0.500)
Au (0.500, 0.500, 0.000)
Th (0.000, 0.000, 0.769)
Th (0.000, 0.000, 0.231)

***

Here is a relaxed Th2TlAu crystal from Alexandria. Energies are from PBE-GGA.

As for the density of states at the Fermi level: 1.184 states/eV per atom. The value obtained for the formation energy is -0.306 eV per atom.

abc: 4.524 4.881 4.881
angles: 90.00 90.00 90.00
Positions (direct):
Tl (0.500, 0.000, 0.000)
Au (0.500, 0.500, 0.500)
Th (0.000, 0.000, 0.500)
Th (0.000, 0.500, 0.000)

***

| no. | magnetic moment (μB/atom) | energy relative to the lowest polymorph listed for this composition (eV/f.u.) |
| --- | --- | --- |
| 1 | 0.000 | 0.11 |
| 2 | 0.550 | 0.26 |
| 3 | 0.000 | 0.00 |
| 4 | 0.063 | 0.00 |
| 5 | 0.224 | 1.59 |
| 6 | 0.257 | 0.00 |
| 7 | 0.000 | 0.00 |
| 8 | 0.000 | 0.20 |